# InGaSbPb

InGaSbPb after structural relaxation (PBE, Alexandria).

Output
E_form (uncorrected) ... 108.7 meV/atom

Lattice parameters (Å, degrees): 5.3817 5.3817 5.3817 60.00 60.00 60.00
Fractional coordinates of all 4 atoms:
1 Pb 0.0000 0.0000 0.0000
2 Ga 0.2500 0.2500 0.2500
3 Sb 0.7500 0.7500 0.7500
4 In 0.5000 0.5000 0.5000